(1)
Entry from Alexandria via LeMat-Bulk: crystalline SrBeBr at its relaxed geometry (PBE).

Cell: 4.8747 4.8747 3.8212 Å, 90.00 90.00 120.00°
Fractional coordinates of all 3 atoms:
1 Sr 0.3333 0.6667 0.6672
2 Br 0.6667 0.3333 0.1673
3 Be 0.0000 0.0000 0.1655

Values from the calculation:
E_form (uncorrected), eV/atom: -0.057
Raw total energy, eV per atom: -2.417

=====

(2)
Entry from Alexandria via LeMat-Bulk: crystalline SrBeBr at its relaxed geometry (PBE).

Cell: 5.1230 5.1230 5.1230 Å, 60.00 60.00 60.00°
Fractional coordinates of all 3 atoms:
1 Sr 0.0000 0.0000 0.0000
2 Br 0.2500 0.2500 0.2500
3 Be 0.5000 0.5000 0.5000

Values from the calculation:
E_form (uncorrected), eV/atom: 0.055
Raw total energy, eV per atom: -2.306

=====

(3)
Entry from Alexandria via LeMat-Bulk: crystalline SrBe2Br at its relaxed geometry (PBE).

Cell: 3.4199 3.4199 8.7621 Å, 90.00 90.00 90.04°
Fractional coordinates of all 4 atoms:
1 Sr 0.5000 0.5000 0.7721
2 Br 0.0000 0.0000 0.5631
3 Be 0.0000 0.0000 0.0581
4 Be 0.5000 0.5000 0.1067

Values from the calculation:
E_form (uncorrected), eV/atom: 0.123
Raw total energy, eV per atom: -2.579

=====

(4)
Entry from Alexandria via LeMat-Bulk: crystalline SrBeBr4 at its relaxed geometry (PBE).

Cell: 6.4524 6.4524 6.4524 Å, 60.00 60.00 60.00°
Each line ends with the local moment (μB).
Fractional coordinates of all 6 atoms:
1 Sr 0.7500 0.7500 0.7500  0.00
2 Be 0.0000 0.0000 0.0000  0.02
3 Br 0.8759 0.3747 0.3747  0.40
4 Br 0.3747 0.3747 0.8759  0.40
5 Br 0.3747 0.8759 0.3747  0.40
6 Br 0.3747 0.3747 0.3747  0.40

Values from the calculation:
E_form (uncorrected), eV/atom: 0.055
Raw total energy, eV per atom: -1.962

=====

(5)
Entry from Alexandria via LeMat-Bulk: crystalline SrBeBr at its relaxed geometry (PBE).

Cell: 4.2330 4.2330 6.6472 Å, 90.00 90.00 120.00°
Fractional coordinates of all 3 atoms:
1 Sr 0.3333 0.6667 0.6588
2 Br 0.6667 0.3333 0.3775
3 Be 0.0000 0.0000 0.9637

Values from the calculation:
E_form (uncorrected), eV/atom: -0.061
Raw total energy, eV per atom: -2.421

=====

(6)
Entry from Alexandria via LeMat-Bulk: crystalline SrBe2Br at its relaxed geometry (PBE).

Cell: 4.2295 6.4791 3.9919 Å, 72.55 88.56 108.58°
Fractional coordinates of all 4 atoms:
1 Sr 0.5000 0.5000 0.0000
2 Br 0.0000 0.5000 0.5000
3 Be 0.0000 0.0000 0.0000
4 Be 0.5000 0.0000 0.5000

Values from the calculation:
E_form (uncorrected), eV/atom: 0.364
Raw total energy, eV per atom: -2.338